--- 1 ---
! LiCoAs2 (PBE-GGA, relaxed); values from VASP
! **Density of states at the Fermi level**: 0.62 states/eV/atom
! **SG**: Pm (6)
&SYSTEM
  ibrav = 0, nat = 4, ntyp = 3
/
ATOMIC_SPECIES
Li 6.94 Li.upf
Co 58.93 Co.upf
As 74.92 As.upf
CELL_PARAMETERS angstrom
3.543 0.000 0.000
0.000 4.112 0.000
-0.904 0.000 4.081
ATOMIC_POSITIONS angstrom
Li 0.000 0.000 0.000
Co -0.027 2.056 1.735
As 1.730 2.056 0.100
As 1.398 0.000 2.016



--- 2 ---
! LiCoAs2 (PBE-GGA, relaxed); values from VASP
! **Density of states at the Fermi level**: 0.19 states/eV/atom
! **SG**: P2/m (10)
&SYSTEM
  ibrav = 0, nat = 4, ntyp = 3
/
ATOMIC_SPECIES
Li 6.94 Li.upf
Co 58.93 Co.upf
As 74.92 As.upf
CELL_PARAMETERS angstrom
2.925 0.000 0.000
0.000 2.903 0.000
-0.072 0.000 6.988
ATOMIC_POSITIONS angstrom
Li 0.000 0.000 0.000
Co -0.036 0.000 3.494
As 1.430 1.452 2.011
As 1.424 1.452 4.977



Pick 2: it beats the second-best structure by 140 meV per atom.